# 1
A plane-wave DFT calculation with PBE was carried out for an optimized crystal structure of Co4Ir3.

Cell: 5.178 5.871 6.372 Å, 111.65 91.39 103.08°
Fractional positions:
Co: 0.000 0.000 0.000
Co: 0.071 0.282 0.425
Co: 0.213 0.858 0.282
Co: 0.354 0.424 0.142
Co: 0.500 0.000 0.000
Co: 0.646 0.576 0.858
Co: 0.787 0.142 0.718
Co: 0.929 0.718 0.575
Ir: 0.142 0.577 0.858
Ir: 0.281 0.143 0.719
Ir: 0.429 0.716 0.571
Ir: 0.571 0.284 0.429
Ir: 0.719 0.857 0.281
Ir: 0.858 0.423 0.142

Computed properties:
E above lowest polymorph	2.4	meV/atom
crystal system	triclinic
ΔH_f (0 K)	0.043	eV per atom
space-group type	P-1 (2)
total moment	4.97	μB/f.u.
mass density	15.5	Mg/m³

# 2
A plane-wave DFT calculation with PBE was carried out for an optimized crystal structure of KMn3Zn.

Cell: 4.851 4.851 4.851 Å, 90.00 90.00 90.00°
Fractional positions:
K: 0.000 0.000 0.000
Mn: 0.000 0.000 0.500
Mn: 0.000 0.500 0.000
Mn: 0.500 0.000 0.000
Zn: 0.500 0.500 0.500

Computed properties:
E above lowest polymorph	1203.8	meV/atom
crystal system	cubic
ΔH_f (0 K)	2.170	eV per atom
space-group type	Pm-3m (221)
total moment	11.59	μB/f.u.
mass density	3.9	Mg/m³

# 3
A plane-wave DFT calculation with PBE was carried out for an optimized crystal structure of NbPd2Rh8.

Cell: 7.107 7.107 4.612 Å, 104.71 104.71 121.00°
Fractional positions:
Nb: 0.000 0.000 0.000
Pd: 0.309 0.691 0.500
Pd: 0.691 0.309 0.500
Rh: 0.094 0.321 0.657
Rh: 0.207 0.793 0.000
Rh: 0.321 0.094 0.657
Rh: 0.424 0.424 0.199
Rh: 0.576 0.576 0.801
Rh: 0.679 0.906 0.343
Rh: 0.793 0.207 0.000
Rh: 0.906 0.679 0.343

Computed properties:
crystal system	monoclinic
ΔH_f (0 K)	0.154	eV per atom
space-group type	C2/m (12)
total moment	0.00	μB/f.u.
mass density	11.0	Mg/m³

# 4
A plane-wave DFT calculation with PBE was carried out for an optimized crystal structure of AuC2Se.

Cell: 5.829 5.829 5.829 Å, 129.36 129.36 74.43°
Fractional positions:
Au: 0.000 0.000 0.000
Au: 0.750 0.250 0.500
C: 0.150 0.625 0.025
C: 0.375 0.400 0.525
C: 0.600 0.125 0.975
C: 0.875 0.850 0.475
Se: 0.250 0.750 0.500
Se: 0.500 0.500 0.000

Computed properties:
crystal system	tetragonal
space-group type	I-42d (122)
total moment	0.00	μB/f.u.
mass density	8.6	Mg/m³
E_form (uncorrected)	1.71	eV per atom

# 5
A plane-wave DFT calculation with PBE was carried out for an optimized crystal structure of LaHo2Sc4.

Cell: 5.912 7.606 8.982 Å, 90.32 90.27 105.15°
Fractional positions:
La: 0.000 0.000 0.000
La: 0.425 0.772 0.073
Ho: 0.003 0.493 0.508
Ho: 0.146 0.935 0.369
Ho: 0.575 0.223 0.931
Ho: 0.576 0.712 0.439
Sc: 0.143 0.428 0.856
Sc: 0.287 0.355 0.224
Sc: 0.290 0.857 0.716
Sc: 0.432 0.284 0.580
Sc: 0.712 0.149 0.297
Sc: 0.719 0.639 0.785
Sc: 0.858 0.073 0.647
Sc: 0.860 0.559 0.150

Computed properties:
E above lowest polymorph	0.0	meV/atom
crystal system	triclinic
ΔH_f (0 K)	0.067	eV per atom
space-group type	P1 (1)
total moment	0.00	μB/f.u.
mass density	5.5	Mg/m³

# 6
A plane-wave DFT calculation with PBE was carried out for an optimized crystal structure of HoPaAlGa.

Cell: 5.058 5.058 5.058 Å, 60.00 60.00 60.00°
Fractional positions:
Ho: 0.000 0.000 0.000
Pa: 0.500 0.500 0.500
Al: 0.250 0.250 0.250
Ga: 0.750 0.750 0.750

Computed properties:
crystal system	cubic
ΔH_f (0 K)	-0.203	eV per atom
space-group type	F-43m (216)
total moment	0.66	μB/f.u.
mass density	8.9	Mg/m³

# 7
A plane-wave DFT calculation with PBE was carried out for an optimized crystal structure of BaZnI2O.

Cell: 5.219 5.219 7.283 Å, 90.00 90.00 90.00°
Fractional positions:
Ba: 0.000 0.000 0.000
Zn: 0.000 0.000 0.500
I: 0.000 0.500 0.500
I: 0.500 0.000 0.500
O: 0.500 0.500 0.000

Computed properties:
E above lowest polymorph	879.4	meV/atom
crystal system	tetragonal
space-group type	P4/mmm (123)
total moment	0.72	μB/f.u.
mass density	4.0	Mg/m³
E_form (uncorrected)	-0.23	eV per atom

# 8
A plane-wave DFT calculation with PBE was carried out for an optimized crystal structure of Ca2AcI.

Cell: 11.468 11.468 11.468 Å, 20.21 20.21 20.21°
Fractional positions:
Ca: 0.239 0.239 0.239
Ca: 0.761 0.761 0.761
Ac: 0.000 0.000 0.000
I: 0.500 0.500 0.500

Computed properties:
E above lowest polymorph	0.0	meV/atom
crystal system	trigonal
space-group type	R-3m (166)
total moment	0.00	μB/f.u.
mass density	4.6	Mg/m³
E_form (uncorrected)	-0.54	eV per atom

# 9
A plane-wave DFT calculation with PBE was carried out for an optimized crystal structure of SrCe3Se4.

Cell: 7.402 7.402 4.243 Å, 90.00 90.00 109.29°
Fractional positions:
Sr: 0.000 0.000 0.000
Ce: 0.000 0.500 0.500
Ce: 0.500 0.000 0.500
Ce: 0.500 0.500 0.000
Se: 0.252 0.748 0.000
Se: 0.255 0.255 0.500
Se: 0.745 0.745 0.500
Se: 0.748 0.252 0.000

Computed properties:
crystal system	orthorhombic
space-group type	Cmmm (65)
total moment	3.61	μB/f.u.
mass density	6.2	Mg/m³
E_form (uncorrected)	-1.83	eV per atom

# 10
A plane-wave DFT calculation with PBE was carried out for an optimized crystal structure of La4IrSe2Cl.

Cell: 7.438 4.193 7.569 Å, 90.00 109.18 90.00°
Fractional positions:
La: 0.227 0.000 0.229
La: 0.243 0.500 0.751
La: 0.757 0.500 0.249
La: 0.773 0.000 0.771
Ir: 0.000 0.500 0.000
Se: 0.000 0.000 0.500
Se: 0.500 0.500 0.500
Cl: 0.500 0.000 0.000

Computed properties:
crystal system	monoclinic
space-group type	P2/m (10)
total moment	0.00	μB/f.u.
mass density	7.0	Mg/m³
E_form (uncorrected)	-1.60	eV per atom